[1]
PBE KAl2Pd2, relaxed; space group = No. 139; energy of formation from the pure elements = -38.8 kJ per mole of atoms; V = 20.95 Å³ per atom; theoretical density = 4.849 Mg/m³; energy relative to the lowest polymorph listed for this composition = 57 meV per atom; crystal system = tetragonal; total magnetization = 0.0000 μB/atom
1.0
-2.119 2.119 5.833
2.119 -2.119 5.833
2.119 2.119 -5.833
K Al Pd
1 2 2
Cartesian
0.000 0.000 0.000 K
2.119 0.000 2.916 Al
0.000 2.119 2.916 Al
0.000 0.000 4.319 Pd
0.000 0.000 7.347 Pd

=====

[2]
PBE Ir3Ru3Pt, relaxed; space group = No. 176; energy of formation from the pure elements = 1.9 kJ per mole of atoms; V = 14.42 Å³ per atom; theoretical density = 17.685 Mg/m³; crystal system = hexagonal; total magnetization = 0.0001 μB/atom
1.0
7.278 0.000 0.000
-3.639 6.303 0.000
0.000 0.000 4.400
Ir Ru Pt
6 6 2
Cartesian
-2.617 5.086 1.100 Ir
0.543 1.493 1.100 Ir
1.565 0.277 3.300 Ir
2.074 6.026 1.100 Ir
3.096 4.810 3.300 Ir
6.256 1.217 3.300 Ir
-1.538 3.896 3.300 Ru
1.035 3.023 3.300 Ru
3.135 0.615 1.100 Ru
0.504 5.688 3.300 Ru
2.605 3.280 1.100 Ru
5.178 2.407 1.100 Ru
0.000 4.202 1.100 Pt
3.639 2.101 3.300 Pt

=====

[3]
PBE Mg2NbMo, relaxed; space group = No. 225; energy of formation from the pure elements = 63.4 kJ per mole of atoms; V = 17.84 Å³ per atom; theoretical density = 5.525 Mg/m³; energy relative to the lowest polymorph listed for this composition = 0 meV per atom; crystal system = cubic; total magnetization = 0.0000 μB/atom
1.0
0.000 3.292 3.292
3.292 0.000 3.292
3.292 3.292 0.000
Mg Nb Mo
2 1 1
Cartesian
1.646 1.646 1.646 Mg
4.938 4.938 4.938 Mg
0.000 0.000 0.000 Nb
3.292 3.292 3.292 Mo

=====

[4]
PBE Y2CrNiC, relaxed; space group = No. 123; energy of formation from the pure elements = -12.4 kJ per mole of atoms; V = 18.42 Å³ per atom; theoretical density = 5.417 Mg/m³; crystal system = tetragonal; total magnetization = 0.4404 μB/atom
1.0
4.922 0.000 0.000
0.000 4.922 0.000
0.000 0.000 3.802
Y Cr Ni C
2 1 1 1
Cartesian
0.000 2.461 0.000 Y
2.461 0.000 0.000 Y
0.000 0.000 1.901 Cr
2.461 2.461 1.901 Ni
0.000 0.000 0.000 C

=====

[5]
PBE SmCoH3, relaxed; space group = No. 221; V = 9.00 Å³ per atom; theoretical density = 7.838 Mg/m³; crystal system = cubic; total magnetization = 0.0000 μB/atom; VASP energy = -4.816 eV per atom
1.0
3.556 0.000 0.000
0.000 3.556 0.000
0.000 0.000 3.556
Sm Co H
1 1 3
Cartesian
0.000 0.000 0.000 Sm
1.778 1.778 1.778 Co
0.000 1.778 1.778 H
1.778 0.000 1.778 H
1.778 1.778 0.000 H

=====

[6]
PBE LaTbPuHg, relaxed; space group = No. 216; energy of formation from the pure elements = 1.2 kJ per mole of atoms; V = 28.89 Å³ per atom; theoretical density = 10.670 Mg/m³; crystal system = cubic; total magnetization = 1.7294 μB/atom
1.0
0.000 3.866 3.866
3.866 0.000 3.866
3.866 3.866 0.000
La Tb Pu Hg
1 1 1 1
Cartesian
0.000 0.000 0.000 La
3.866 3.866 3.866 Tb
5.799 5.799 5.799 Pu
1.933 1.933 1.933 Hg

=====

[7]
PBE PmAlPdPt, relaxed; space group = No. 216; energy of formation from the pure elements = -79.8 kJ per mole of atoms; V = 19.14 Å³ per atom; theoretical density = 10.267 Mg/m³; energy relative to the lowest polymorph listed for this composition = 174 meV per atom; crystal system = cubic; total magnetization = 0.0000 μB/atom
1.0
0.000 3.370 3.370
3.370 0.000 3.370
3.370 3.370 0.000
Pm Al Pd Pt
1 1 1 1
Cartesian
0.000 0.000 0.000 Pm
3.370 3.370 3.370 Al
5.056 5.056 5.056 Pd
1.685 1.685 1.685 Pt

=====

[8]
PBE Ca2TiBr, relaxed; space group = No. 225; E_form (uncorrected) = 166 meV per atom; V = 30.72 Å³ per atom; theoretical density = 2.810 Mg/m³; energy relative to the lowest polymorph listed for this composition = 104 meV per atom; crystal system = cubic; total magnetization = 0.9132 μB/atom
1.0
0.000 3.946 3.946
3.946 0.000 3.946
3.946 3.946 0.000
Ca Ti Br
2 1 1
Cartesian
1.973 1.973 1.973 Ca
5.919 5.919 5.919 Ca
0.000 0.000 0.000 Ti
3.946 3.946 3.946 Br

=====

[9]
PBE Pr8Tm5Cd, relaxed; space group = No. 5; energy of formation from the pure elements = 12.9 kJ per mole of atoms; V = 34.03 Å³ per atom; theoretical density = 7.265 Mg/m³; crystal system = monoclinic; total magnetization = 0.0000 μB/atom
1.0
7.299 -4.497 0.000
7.299 4.497 0.000
-5.562 0.000 7.258
Pr Tm Cd
8 5 1
Cartesian
0.210 2.265 4.767 Pr
-1.320 0.000 3.022 Pr
2.799 1.180 2.528 Pr
-1.395 -0.580 6.939 Pr
8.825 2.265 2.491 Pr
6.236 1.180 4.730 Pr
10.430 -0.580 0.319 Pr
10.355 0.000 4.236 Pr
5.884 2.075 0.865 Tm
3.151 2.075 6.393 Tm
1.837 -0.849 5.525 Tm
7.198 -0.849 1.733 Tm
7.299 -3.859 0.000 Tm
4.518 -1.473 3.629 Cd

=====

[10]
PBE YTl2As, relaxed; space group = No. 216; energy of formation from the pure elements = -18.6 kJ per mole of atoms; V = 26.03 Å³ per atom; theoretical density = 9.132 Mg/m³; energy relative to the lowest polymorph listed for this composition = 312 meV per atom; crystal system = cubic; total magnetization = 0.0000 μB/atom
1.0
0.000 3.734 3.734
3.734 0.000 3.734
3.734 3.734 0.000
Y Tl As
1 2 1
Cartesian
0.000 0.000 0.000 Y
1.867 1.867 1.867 Tl
3.734 3.734 3.734 Tl
5.601 5.601 5.601 As

=====

[11]
PBE K2FeMo, relaxed; space group = No. 10; energy of formation from the pure elements = 142.7 kJ per mole of atoms; V = 21.91 Å³ per atom; theoretical density = 4.357 Mg/m³; energy relative to the lowest polymorph listed for this composition = 625 meV per atom; crystal system = monoclinic; total magnetization = 0.4370 μB/atom
1.0
2.770 0.000 0.000
0.000 6.050 0.000
-0.558 0.000 5.231
K Fe Mo
2 1 1
Cartesian
0.480 0.000 1.335 K
1.731 0.000 3.897 K
-0.279 3.025 2.616 Fe
1.385 3.025 0.000 Mo

=====

[12]
PBE PrNi4B4, relaxed; space group = No. 86; energy of formation from the pure elements = -36.8 kJ per mole of atoms; V = 10.96 Å³ per atom; theoretical density = 7.054 Mg/m³; energy relative to the lowest polymorph listed for this composition = 0 meV per atom; crystal system = tetragonal; total magnetization = 0.0000 μB/atom
1.0
7.273 0.000 0.000
0.000 7.273 0.000
0.000 0.000 3.728
Pr Ni B
2 8 8
Cartesian
1.818 1.818 0.932 Pr
5.455 5.455 2.796 Pr
0.755 4.719 0.578 Ni
1.082 6.519 2.442 Ni
2.554 4.391 2.442 Ni
2.882 6.191 0.578 Ni
4.391 1.082 3.151 Ni
4.719 2.882 1.286 Ni
6.191 0.755 1.286 Ni
6.519 2.554 3.151 Ni
0.301 6.684 0.575 B
0.589 3.938 2.439 B
3.047 6.972 2.439 B
3.336 4.226 0.575 B
3.938 3.047 3.154 B
4.226 0.301 1.290 B
6.684 3.336 1.290 B
6.972 0.589 3.154 B